{"formula": "LiNi4Sn2", "functional": "PBE", "state": "relaxed", "lattice": [[5.0497, -2.5685, 0.0000], [5.0497, 2.5685, 0.0000], [0.0000, 0.0000, 7.9485]], "species": ["Li", "Li", "Ni", "Ni", "Ni", "Ni", "Ni", "Ni", "Ni", "Ni", "Sn", "Sn", "Sn", "Sn"], "fractional_positions": [[0.0000, 0.0000, 0.0000], [0.5000, 0.5000, 0.5000], [0.9997, 0.5003, 0.2500], [0.0003, 0.4997, 0.7500], [0.2487, 0.7513, 0.7496], [0.2513, 0.7487, 0.2496], [0.4997, 0.0003, 0.2500], [0.5003, 0.9997, 0.7500], [0.7487, 0.2513, 0.7504], [0.7513, 0.2487, 0.2504], [0.1472, 0.1472, 0.5000], [0.3528, 0.3528, 0.0000], [0.6472, 0.6472, 0.0000], [0.8528, 0.8528, 0.5000]], "n_ef_per_ev_cell": 9.64, "ef_ev_per_atom": -0.049}